Here is crystalline CoAg2TeO6 at its relaxed geometry from the Alexandria database. Energies are from PBE+U.

Results
Crystal system: triclinic
Total DFT energy (no corrections), eV per atom: -4.875

abc: 5.404 5.506 5.515
angles: 119.07 118.07 91.11
Space group P-1 (No. 2)
Inequivalent atoms, fractional coordinates:
Co (0.000, 0.000, 0.000) [1 per cell]
Ag (0.260, 0.761, 0.528) [2 per cell]
Te (0.500, 0.500, 0.000) [1 per cell]
O (0.195, 0.326, 0.529) [2 per cell]
O (0.280, 0.760, 0.127) [2 per cell]
O (0.292, 0.198, 0.001) [2 per cell]